VASP calculation (GGA-PBE) on SnAs2Pd7 after structural relaxation.

Calculated values
As for the polymorph energy (0 for the lowest one): 0 meV per atom. The value obtained for the total energy is -53.848 eV per cell. As for the crystal system: tetragonal. As for the formation energy from the elements: -40.5 kJ per mole of atoms.

Cell lengths 10.658, 10.658, 10.658 Å; angles 158.04, 158.04, 31.25 degrees
Positions (direct):
Sn 0.000 0.000 0.000
As 0.327 0.327 0.000
As 0.673 0.673 0.000
Pd 0.100 0.600 0.500
Pd 0.250 0.750 0.500
Pd 0.400 0.900 0.500
Pd 0.500 0.500 0.000
Pd 0.600 0.100 0.500
Pd 0.750 0.250 0.500
Pd 0.900 0.400 0.500